# 1
Density functional theory data (meta-GGA SCAN) for Y2CoSi at its PBEsol-relaxed geometry.

The structure in POSCAR format:
```
Y2CoSi
1.0
-1.434 -1.520 3.265
0.828 -3.715 -1.365
4.260 2.103 2.849
Y Co Si
2 1 1
direct
0.500 0.387 0.775 Y
0.000 0.105 0.209 Y
0.000 0.816 0.632 Co
0.500 0.685 0.371 Si
```

Results
M_tot: 0.00 μB per formula unit
E_form (uncorrected): -0.4847 eV per atom

***

# 2
Density functional theory data (meta-GGA SCAN) for YCoSi2 at its PBEsol-relaxed geometry.

The structure in POSCAR format:
```
YCoSi2
1.0
3.845 0.000 0.000
1.922 3.330 0.000
1.922 1.110 4.938
Si Y Co
2 1 1
direct
0.292 0.292 0.124 Si
0.708 0.708 0.876 Si
0.500 0.500 0.500 Y
0.000 0.000 0.000 Co
```

Results
M_tot: 0.00 μB per formula unit
E_form (uncorrected): -0.7424 eV per atom

***

# 3
Density functional theory data (meta-GGA SCAN) for Y2Co3Si at its PBEsol-relaxed geometry.

The structure in POSCAR format:
```
Y2Co3Si
1.0
4.824 -0.008 -0.006
2.049 4.368 -0.006
2.049 1.299 4.170
Co Si Y
3 1 2
direct
0.500 0.000 0.000 Co
0.000 0.500 0.000 Co
0.000 0.000 0.500 Co
0.000 0.000 0.000 Si
0.373 0.373 0.373 Y
0.627 0.627 0.627 Y
```

Results
M_tot: 0.00 μB per formula unit
E_form (uncorrected): -0.2973 eV per atom

***

# 4
Density functional theory data (meta-GGA SCAN) for Y2CoSi2 at its PBEsol-relaxed geometry.

The structure in POSCAR format:
```
Y2CoSi2
1.0
5.142 -0.004 0.007
-2.059 4.711 -0.007
2.059 2.015 4.259
Co Y Si
1 2 2
direct
0.000 0.000 0.000 Co
0.500 0.250 0.250 Y
0.500 0.750 0.750 Y
0.000 0.329 0.671 Si
0.000 0.671 0.329 Si
```

Results
M_tot: 0.58 μB per formula unit
E_form (uncorrected): -0.0689 eV per atom

***

# 5
Density functional theory data (meta-GGA SCAN) for YCo9Si2 at its PBEsol-relaxed geometry.

The structure in POSCAR format:
```
YCo9Si2
1.0
6.179 0.000 0.000
3.089 6.726 0.000
3.089 0.000 6.726
Co Y Si
18 2 4
direct
0.316 0.082 0.670 Co
0.148 0.170 0.418 Co
0.682 0.582 0.170 Co
0.434 0.830 0.418 Co
0.682 0.170 0.582 Co
0.602 0.330 0.082 Co
0.602 0.082 0.330 Co
0.750 0.500 0.500 Co
0.014 0.918 0.670 Co
0.148 0.418 0.170 Co
0.068 0.330 0.918 Co
0.316 0.670 0.082 Co
0.736 0.830 0.582 Co
0.434 0.418 0.830 Co
0.068 0.918 0.330 Co
0.014 0.670 0.918 Co
0.000 0.000 0.000 Co
0.736 0.582 0.830 Co
0.500 0.000 0.000 Y
0.250 0.500 0.500 Y
0.875 0.250 0.750 Si
0.875 0.750 0.250 Si
0.875 0.250 0.250 Si
0.375 0.750 0.750 Si
```

Results
M_tot: 11.11 μB per formula unit
E_form (uncorrected): -0.2331 eV per atom

***

# 6
Density functional theory data (meta-GGA SCAN) for YCoSi2 at its PBEsol-relaxed geometry.

The structure in POSCAR format:
```
YCoSi2
1.0
3.938 0.000 0.000
0.000 3.985 0.000
0.000 1.993 8.048
Si Co Y
4 2 2
direct
0.750 0.250 0.501 Si
0.250 0.750 0.499 Si
0.250 0.457 0.086 Si
0.750 0.543 0.914 Si
0.750 0.679 0.641 Co
0.250 0.321 0.359 Co
0.250 0.108 0.784 Y
0.750 0.892 0.216 Y
```

Results
M_tot: 0.00 μB per formula unit
E_form (uncorrected): -0.7736 eV per atom

***

# 7
Density functional theory data (meta-GGA SCAN) for Y2CoSi2 at its PBEsol-relaxed geometry.

The structure in POSCAR format:
```
Y2CoSi2
1.0
4.085 0.000 0.000
2.043 5.174 -0.008
2.043 0.335 8.618
Co Y Si
2 4 4
direct
0.773 0.074 0.379 Co
0.227 0.926 0.621 Co
0.314 0.267 0.106 Y
0.498 0.331 0.672 Y
0.502 0.669 0.328 Y
0.686 0.733 0.894 Y
0.004 0.864 0.127 Si
0.847 0.739 0.567 Si
0.153 0.261 0.433 Si
0.996 0.136 0.873 Si
```

Results
M_tot: 0.04 μB per formula unit
E_form (uncorrected): -0.7655 eV per atom

***

# 8
Density functional theory data (meta-GGA SCAN) for Y2CoSi at its PBEsol-relaxed geometry.

The structure in POSCAR format:
```
Y2CoSi
1.0
-0.718 -2.891 -1.236
2.432 -2.357 4.102
-8.003 1.412 5.556
Co Y Si
2 4 2
direct
0.948 0.250 0.895 Co
0.052 0.750 0.105 Co
0.443 0.750 0.886 Y
0.557 0.250 0.114 Y
0.334 0.250 0.668 Y
0.666 0.750 0.332 Y
0.708 0.250 0.416 Si
0.292 0.750 0.584 Si
```

Results
M_tot: 0.74 μB per formula unit
E_form (uncorrected): 0.0210 eV per atom

***

# 9
Density functional theory data (meta-GGA SCAN) for Y2CoSi2 at its PBEsol-relaxed geometry.

The structure in POSCAR format:
```
Y2CoSi2
1.0
3.425 0.000 0.000
0.000 3.425 0.000
-1.713 -1.713 8.271
Si Y Co
2 2 1
direct
0.750 0.250 0.500 Si
0.250 0.750 0.500 Si
0.598 0.598 0.197 Y
0.402 0.402 0.803 Y
0.000 0.000 0.000 Co
```

Results
M_tot: 0.63 μB per formula unit
E_form (uncorrected): -0.1433 eV per atom

***

# 10
Density functional theory data (meta-GGA SCAN) for ZnCoSi2 at its PBEsol-relaxed geometry.

The structure in POSCAR format:
```
ZnCoSi2
1.0
-2.403 1.291 -0.497
-1.695 0.632 2.102
2.116 7.419 1.306
Si Co Zn
2 1 1
direct
0.746 0.746 0.761 Si
0.992 0.992 0.025 Si
0.256 0.256 0.231 Co
0.506 0.506 0.483 Zn
```

Results
M_tot: 0.73 μB per formula unit
E_form (uncorrected): 0.1988 eV per atom

***

# 11
Density functional theory data (meta-GGA SCAN) for ZnCo4Si at its PBEsol-relaxed geometry.

The structure in POSCAR format:
```
ZnCo4Si
1.0
-3.276 2.547 1.976
-4.251 0.036 -1.749
-3.437 -2.037 2.272
Co Zn Si
4 1 1
direct
0.375 0.874 0.375 Co
0.874 0.375 0.375 Co
0.375 0.375 0.375 Co
0.375 0.375 0.874 Co
0.000 0.000 0.000 Zn
0.750 0.750 0.750 Si
```

Results
M_tot: 6.83 μB per formula unit
E_form (uncorrected): 0.2022 eV per atom

***

# 12
Density functional theory data (meta-GGA SCAN) for ZnCoSi2 at its PBEsol-relaxed geometry.

The structure in POSCAR format:
```
ZnCoSi2
1.0
4.133 0.000 0.000
2.067 3.579 0.000
2.067 1.193 3.375
Zn Si Co
1 2 1
direct
0.250 0.250 0.250 Zn
0.000 0.000 0.000 Si
0.750 0.750 0.750 Si
0.500 0.500 0.500 Co
```

Results
M_tot: 0.00 μB per formula unit
E_form (uncorrected): 0.4272 eV per atom

***

# 13
Density functional theory data (meta-GGA SCAN) for ZrCoSi2 at its PBEsol-relaxed geometry.

The structure in POSCAR format:
```
ZrCoSi2
1.0
3.616 0.000 0.000
0.000 3.711 0.000
-1.808 -1.856 4.307
Co Zr Si
1 1 2
direct
0.727 0.227 0.454 Co
0.480 0.480 0.960 Zr
0.050 0.050 0.099 Si
0.243 0.743 0.487 Si
```

Results
M_tot: 0.00 μB per formula unit
E_form (uncorrected): -0.2795 eV per atom

***

# 14
Density functional theory data (meta-GGA SCAN) for ZrCoSi2 at its PBEsol-relaxed geometry.

The structure in POSCAR format:
```
ZrCoSi2
1.0
-2.780 2.164 1.185
-1.447 0.015 -3.424
-0.119 -4.466 2.048
Zr Co Si
1 1 2
direct
0.500 0.500 0.000 Zr
0.000 0.000 0.000 Co
0.750 0.250 0.500 Si
0.250 0.750 0.500 Si
```

Results
M_tot: 2.12 μB per formula unit
E_form (uncorrected): -0.1455 eV per atom

***

# 15
Density functional theory data (meta-GGA SCAN) for Zr4Co4Si7 at its PBEsol-relaxed geometry.

The structure in POSCAR format:
```
Zr4Co4Si7
1.0
-4.923 0.385 -0.905
-0.925 -0.970 -9.308
-3.351 -8.768 0.570
Si Zr Co
14 8 8
direct
0.000 0.697 0.303 Si
0.711 0.578 0.000 Si
0.500 0.592 0.408 Si
0.092 0.408 0.408 Si
0.908 0.592 0.592 Si
0.303 0.697 0.697 Si
0.711 0.000 0.578 Si
0.000 0.303 0.697 Si
0.749 0.000 0.000 Si
0.289 0.422 0.000 Si
0.697 0.303 0.303 Si
0.289 0.000 0.422 Si
0.251 0.000 0.000 Si
0.500 0.408 0.592 Si
0.500 0.803 0.197 Zr
0.138 0.725 0.000 Zr
0.862 0.000 0.275 Zr
0.862 0.275 0.000 Zr
0.500 0.197 0.803 Zr
0.697 0.803 0.803 Zr
0.303 0.197 0.197 Zr
0.138 0.000 0.725 Zr
0.398 0.500 0.205 Co
0.602 0.500 0.795 Co
0.602 0.795 0.500 Co
0.898 0.500 0.205 Co
0.398 0.205 0.500 Co
0.102 0.500 0.795 Co
0.102 0.795 0.500 Co
0.898 0.205 0.500 Co
```

Results
M_tot: 0.00 μB per formula unit
E_form (uncorrected): -0.7941 eV per atom

***

# 16
Density functional theory data (meta-GGA SCAN) for ZrCoSi2 at its PBEsol-relaxed geometry.

The structure in POSCAR format:
```
ZrCoSi2
1.0
-1.423 3.341 -1.072
-1.791 0.318 -3.321
-5.034 0.185 0.573
Zr Co Si
1 1 2
direct
0.000 0.000 0.000 Zr
0.500 0.500 0.500 Co
0.786 0.786 0.641 Si
0.214 0.214 0.359 Si
```

Results
M_tot: 0.00 μB per formula unit
E_form (uncorrected): -0.6918 eV per atom

***

# 17
Density functional theory data (meta-GGA SCAN) for ZrCo2Si at its PBEsol-relaxed geometry.

The structure in POSCAR format:
```
ZrCo2Si
1.0
2.773 0.000 0.000
0.000 2.773 0.000
0.000 0.000 6.565
Si Co Zr
1 2 1
direct
0.500 0.500 0.000 Si
0.000 0.000 0.801 Co
0.000 0.000 0.199 Co
0.500 0.500 0.500 Zr
```

Results
M_tot: 0.00 μB per formula unit
E_form (uncorrected): -0.3703 eV per atom

***

# 18
Density functional theory data (meta-GGA SCAN) for ZrCoSi2 at its PBEsol-relaxed geometry.

The structure in POSCAR format:
```
ZrCoSi2
1.0
-2.426 3.192 1.604
-2.203 -0.595 3.665
1.220 2.035 3.607
Co Si Zr
1 2 1
direct
0.000 0.000 0.000 Co
0.750 0.750 0.750 Si
0.250 0.250 0.250 Si
0.500 0.500 0.500 Zr
```

Results
M_tot: 2.02 μB per formula unit
E_form (uncorrected): -0.0270 eV per atom

***

# 19
Density functional theory data (meta-GGA SCAN) for ZrCo2Si at its PBEsol-relaxed geometry.

The structure in POSCAR format:
```
ZrCo2Si
1.0
3.598 0.000 0.000
0.000 3.598 0.000
-1.799 -1.799 4.042
Si Zr Co
1 1 2
direct
0.500 0.500 0.000 Si
0.250 0.750 0.500 Zr
0.000 0.000 0.000 Co
0.750 0.250 0.500 Co
```

Results
M_tot: 0.00 μB per formula unit
E_form (uncorrected): -0.1855 eV per atom

***

# 20
Density functional theory data (meta-GGA SCAN) for ZrCo2Si2 at its PBEsol-relaxed geometry.

The structure in POSCAR format:
```
ZrCo2Si2
1.0
-2.827 2.013 1.294
-2.273 -2.886 -0.473
3.520 -1.055 4.031
Si Co Zr
2 2 1
direct
0.378 0.378 0.756 Si
0.622 0.622 0.244 Si
0.250 0.750 0.500 Co
0.750 0.250 0.500 Co
0.000 0.000 0.000 Zr
```

Results
M_tot: 0.00 μB per formula unit
E_form (uncorrected): -0.7798 eV per atom